1.
Material: GaAgPtPb2
Method: DFT, PBE
State: optimized geometry

offset from the most stable computed form: 0 meV per atom
formation energy from the elements: -0.1625 eV/atom
SG: R3m, No. 160
magnetization: 0.00 μB/f.u.

a b c (Å): 7.914 7.914 7.914
angles (deg): 31.53 31.53 31.53
Atoms (fractional coordinates):
Ga: 0.000 0.000 0.000
Ag: 0.388 0.388 0.388
Pt: 0.649 0.649 0.649
Pb: 0.238 0.238 0.238
Pb: 0.792 0.792 0.792

***

2.
Material: ScTi2GeC
Method: DFT, PBE
State: optimized geometry

formation energy from the elements: -0.6181 eV/atom
SG: P4/mmm, No. 123
magnetization: 0.00 μB/f.u.

a b c (Å): 4.174 4.174 4.408
angles (deg): 90.00 90.00 90.00
Atoms (fractional coordinates):
Sc: 0.000 0.000 0.000
Ti: 0.000 0.500 0.500
Ti: 0.500 0.000 0.500
Ge: 0.500 0.500 0.000
C: 0.000 0.000 0.500

***

3.
Material: CrFeAg2
Method: DFT, PBE
State: optimized geometry

offset from the most stable computed form: 257 meV per atom
formation energy from the elements: 0.5844 eV/atom
SG: C2/m, No. 12
magnetization: 6.29 μB/f.u.

a b c (Å): 4.911 4.911 4.900
angles (deg): 99.44 99.44 33.04
Atoms (fractional coordinates):
Cr: 0.000 0.000 0.000
Fe: 0.500 0.500 0.500
Ag: 0.247 0.247 0.747
Ag: 0.753 0.753 0.253

***

4.
Material: Np2Si2Pt
Method: DFT, PBE
State: optimized geometry

SG: C2/c, No. 15
magnetization: 8.08 μB/f.u.
energy relative to the elements, uncorrected: -0.45 eV/atom

a b c (Å): 5.462 5.462 7.349
angles (deg): 99.64 99.64 62.56
Atoms (fractional coordinates):
Np: 0.020 0.250 0.150
Np: 0.250 0.020 0.650
Np: 0.750 0.980 0.350
Np: 0.980 0.750 0.850
Si: 0.239 0.480 0.500
Si: 0.480 0.239 0.000
Si: 0.520 0.761 0.000
Si: 0.761 0.520 0.500
Pt: 0.360 0.640 0.250
Pt: 0.640 0.360 0.750

***

5.
Material: PuTiH3
Method: DFT, PBE
State: optimized geometry

offset from the most stable computed form: 45 meV per atom
SG: Pm-3m, No. 221
magnetization: 7.06 μB/f.u.

a b c (Å): 3.764 3.764 3.764
angles (deg): 90.00 90.00 90.00
Atoms (fractional coordinates):
Pu: 0.000 0.000 0.000
Ti: 0.500 0.500 0.500
H: 0.000 0.500 0.500
H: 0.500 0.000 0.500
H: 0.500 0.500 0.000

***

6.
Material: BaCd2Pd6
Method: DFT, PBE
State: optimized geometry

formation energy from the elements: 0.1066 eV/atom
SG: Fd-3m, No. 227
magnetization: 0.00 μB/f.u.

a b c (Å): 8.415 8.415 8.415
angles (deg): 60.00 60.00 60.00
Atoms (fractional coordinates):
Ba: 0.125 0.125 0.125
Ba: 0.875 0.875 0.875
Cd: 0.000 0.500 0.500
Cd: 0.500 0.000 0.500
Cd: 0.500 0.500 0.000
Cd: 0.500 0.500 0.500
Pd: 0.115 0.115 0.635
Pd: 0.115 0.635 0.115
Pd: 0.115 0.635 0.635
Pd: 0.365 0.365 0.885
Pd: 0.365 0.885 0.365
Pd: 0.365 0.885 0.885
Pd: 0.635 0.115 0.115
Pd: 0.635 0.115 0.635
Pd: 0.635 0.635 0.115
Pd: 0.885 0.365 0.365
Pd: 0.885 0.365 0.885
Pd: 0.885 0.885 0.365